## CdAg2Cl8 (PBE)

Data for a geometry-optimized CdAg2Cl8 structure.

Unit cell a=7.0497 b=7.0003 c=7.0003 alpha=64.29 beta=74.47 gamma=74.47
Atoms (fractional coordinates):
Cd 0.0000 0.0000 0.0000
Ag 0.6644 0.7963 0.7963
Ag 0.3356 0.2037 0.2037
Cl 0.2062 0.3158 0.8727
Cl 0.7938 0.1273 0.6842
Cl 0.3075 0.8055 0.8055
Cl 0.6925 0.1945 0.1945
Cl 0.2062 0.8727 0.3158
Cl 0.7938 0.6842 0.1273
Cl 0.7349 0.5789 0.5789
Cl 0.2651 0.4211 0.4211

Output
* total magnetic moment: 0.00 μB/f.u.
* volume: 295 Å³ per cell
* DFT total energy: -2.19 eV per atom
* DOS(E_F): 0.65 states/eV per atom


## NaMg2Tl (PBE)

Data for a geometry-optimized NaMg2Tl structure.

Unit cell a=4.7052 b=4.6251 c=4.6251 alpha=90.00 beta=90.00 gamma=90.00
Atoms (fractional coordinates):
Na 0.5000 0.0000 0.0000
Tl 0.5000 0.5000 0.5000
Mg 0.0000 0.0000 0.5000
Mg 0.0000 0.5000 0.0000

Output
* energy of formation from the pure elements: 0.00 eV per atom
* total magnetic moment: 0.00 μB/f.u.
* volume: 101 Å³ per cell
* DFT total energy: -1.72 eV per atom
* DOS(E_F): 0.50 states/eV per atom


## Ce6SnPb2 (PBE)

Data for a geometry-optimized Ce6SnPb2 structure.

Unit cell a=4.3398 b=8.7676 c=8.4501 alpha=121.25 beta=90.00 gamma=90.00
Site moments in Bohr magnetons follow the coordinates.
Atoms (fractional coordinates):
Ce 0.5000 0.5307 0.0000  0.67
Ce 0.5000 0.4132 0.4022  0.89
Ce 0.5000 0.0111 0.5978  0.89
Ce 0.0000 0.3114 0.0000  0.58
Ce 0.0000 0.7465 0.8063  0.80
Ce 0.0000 0.9402 0.1937  0.80
Sn 0.5000 0.0501 0.0000  -0.03
Pb 0.0000 0.3080 0.6192  -0.03
Pb 0.0000 0.6889 0.3808  -0.03

Output
* energy of formation from the pure elements: -0.33 eV per atom
* polymorph energy (0 for the lowest one): 0.0 meV/atom
* total magnetic moment: 5.87 μB/f.u.
* volume: 275 Å³ per cell
* DFT total energy: -5.55 eV per atom
* DOS(E_F): 3.20 states/eV per atom


## Pm12Tl6Si (PBE)

Data for a geometry-optimized Pm12Tl6Si structure.

Unit cell a=8.4744 b=8.4744 c=8.4744 alpha=93.67 beta=93.67 gamma=93.67
Atoms (fractional coordinates):
Pm 0.8029 0.5622 0.4527
Pm 0.4527 0.8029 0.5622
Pm 0.5622 0.4527 0.8029
Pm 0.1971 0.4378 0.5473
Pm 0.5473 0.1971 0.4378
Pm 0.4378 0.5473 0.1971
Pm 0.9843 0.0971 0.3254
Pm 0.9029 0.6746 0.0157
Pm 0.6746 0.0157 0.9029
Pm 0.0157 0.9029 0.6746
Pm 0.0971 0.3254 0.9843
Pm 0.3254 0.9843 0.0971
Tl 0.6728 0.8621 0.2666
Tl 0.7334 0.3272 0.1379
Tl 0.1379 0.7334 0.3272
Tl 0.3272 0.1379 0.7334
Tl 0.2666 0.6728 0.8621
Tl 0.8621 0.2666 0.6728
Si 0.0000 0.0000 0.0000

Output
* total magnetic moment: 0.00 μB/f.u.
* volume: 605 Å³ per cell
* DFT total energy: -4.25 eV per atom
* DOS(E_F): 1.02 states/eV per atom


## Sr2HoIn3 (PBE)

Data for a geometry-optimized Sr2HoIn3 structure.

Unit cell a=5.5977 b=8.8379 c=7.9254 alpha=90.00 beta=90.00 gamma=71.54
Atoms (fractional coordinates):
Sr 0.0000 0.0000 0.0000
Sr 0.0000 0.0000 0.5000
Sr 0.3368 0.3264 0.5000
Sr 0.6632 0.6736 0.5000
Ho 0.3357 0.3286 0.0000
Ho 0.6643 0.6714 0.0000
In 0.8264 0.3472 0.7731
In 0.5000 0.0000 0.2297
In 0.1736 0.6528 0.2269
In 0.8264 0.3472 0.2269
In 0.1736 0.6528 0.7731
In 0.5000 0.0000 0.7703

Output
* energy of formation from the pure elements: -0.42 eV per atom
* total magnetic moment: 0.00 μB/f.u.
* volume: 372 Å³ per cell
* DFT total energy: -3.11 eV per atom
* DOS(E_F): 0.54 states/eV per atom


## CaGeWCl2 (PBE)

Data for a geometry-optimized CaGeWCl2 structure.

Unit cell a=4.5964 b=6.5731 c=4.5964 alpha=90.00 beta=90.00 gamma=90.00
Site moments in Bohr magnetons follow the coordinates.
Atoms (fractional coordinates):
Ge 0.5000 0.5000 0.5000  0.30
Ca 0.0000 0.5000 0.0000  0.06
W 0.0000 0.0000 0.0000  0.19
Cl 0.0000 0.0000 0.5000  0.01
Cl 0.5000 0.0000 0.0000  0.03

Output
* total magnetic moment: 1.19 μB/f.u.
* volume: 139 Å³ per cell
* DFT total energy: -4.28 eV per atom
* DOS(E_F): 1.08 states/eV per atom


## KRuAu2 (PBE)

Data for a geometry-optimized KRuAu2 structure.

Unit cell a=4.8524 b=4.8524 c=4.8524 alpha=60.00 beta=60.00 gamma=60.00
Site moments in Bohr magnetons follow the coordinates.
Atoms (fractional coordinates):
Au 0.0000 0.0000 0.0000  0.10
Au 0.2500 0.2500 0.2500  0.00
K 0.5000 0.5000 0.5000  0.01
Ru 0.7500 0.7500 0.7500  1.91

Output
* energy of formation from the pure elements: 0.81 eV per atom
* polymorph energy (0 for the lowest one): 491.7 meV/atom
* total magnetic moment: 2.08 μB/f.u.
* volume: 81 Å³ per cell
* DFT total energy: -3.42 eV per atom
* DOS(E_F): 1.27 states/eV per atom


## HgW2Au (PBE)

Data for a geometry-optimized HgW2Au structure.

Unit cell a=5.9140 b=5.9140 c=7.2467 alpha=65.92 beta=65.92 gamma=90.00
Atoms (fractional coordinates):
Au 0.5000 0.5000 0.0000
Au 0.2500 0.7500 0.5000
Hg 0.0000 0.0000 0.0000
Hg 0.7500 0.2500 0.5000
W 0.6088 0.1250 0.2500
W 0.1412 0.6250 0.2500
W 0.3750 0.3912 0.7500
W 0.8750 0.8588 0.7500

Output
* energy of formation from the pure elements: 2.28 eV per atom
* total magnetic moment: 0.00 μB/f.u.
* volume: 207 Å³ per cell
* DFT total energy: -5.09 eV per atom
* DOS(E_F): 0.70 states/eV per atom


## MgCu3Au6 (PBE)

Data for a geometry-optimized MgCu3Au6 structure.

Unit cell a=4.3413 b=8.1201 c=9.4205 alpha=100.81 beta=90.00 gamma=90.00
Atoms (fractional coordinates):
Mg 0.2500 0.9399 0.6078
Mg 0.7500 0.0601 0.3922
Cu 0.2500 0.5456 0.4043
Cu 0.7500 0.4544 0.5957
Cu 0.2500 0.3476 0.8179
Cu 0.7500 0.6524 0.1821
Cu 0.2500 0.7449 0.9913
Cu 0.7500 0.2551 0.0087
Au 0.2500 0.4601 0.1024
Au 0.7500 0.5399 0.8976
Au 0.2500 0.1534 0.2172
Au 0.7500 0.8466 0.7828
Au 0.2500 0.6226 0.6972
Au 0.7500 0.3774 0.3028
Au 0.2500 0.2614 0.5250
Au 0.7500 0.7386 0.4750
Au 0.2500 0.8283 0.2911
Au 0.7500 0.1717 0.7089
Au 0.2500 0.0597 0.9111
Au 0.7500 0.9403 0.0889

Output
* energy of formation from the pure elements: -0.16 eV per atom
* polymorph energy (0 for the lowest one): 0.0 meV/atom
* total magnetic moment: 0.00 μB/f.u.
* volume: 326 Å³ per cell
* DFT total energy: -3.52 eV per atom
* DOS(E_F): 0.28 states/eV per atom


## MgTaCu (PBE)

Data for a geometry-optimized MgTaCu structure.

Unit cell a=3.2287 b=8.4837 c=4.3978 alpha=121.21 beta=89.89 gamma=101.04
Atoms (fractional coordinates):
Mg 0.0758 0.1379 0.8006
Mg 0.9247 0.8358 0.9986
Cu 0.5888 0.1643 0.3271
Cu 0.4117 0.8094 0.4721
Ta 0.2394 0.4652 0.6279
Ta 0.7611 0.5085 0.1712

Output
* energy of formation from the pure elements: 0.13 eV per atom
* polymorph energy (0 for the lowest one): 47.3 meV/atom
* total magnetic moment: 0.00 μB/f.u.
* volume: 100 Å³ per cell
* DFT total energy: -5.72 eV per atom
* DOS(E_F): 0.62 states/eV per atom


## Ba5Mg3 (PBE)

Data for a geometry-optimized Ba5Mg3 structure.

Unit cell a=7.8271 b=7.8271 c=6.1849 alpha=90.00 beta=90.00 gamma=103.87
Atoms (fractional coordinates):
Ba 0.0000 0.0000 0.0000
Ba 0.0000 0.5000 0.0000
Ba 0.5000 0.0000 0.0000
Ba 0.2867 0.2867 0.5000
Ba 0.7133 0.7133 0.5000
Mg 0.5000 0.5000 0.0000
Mg 0.7747 0.2253 0.5000
Mg 0.2253 0.7747 0.5000

Output
* energy of formation from the pure elements: 0.01 eV per atom
* polymorph energy (0 for the lowest one): 49.3 meV/atom
* total magnetic moment: 0.00 μB/f.u.
* volume: 368 Å³ per cell
* DFT total energy: -1.79 eV per atom
* DOS(E_F): 1.33 states/eV per atom


## TbPmY3Tm (PBE)

Data for a geometry-optimized TbPmY3Tm structure.

Unit cell a=5.0421 b=7.9847 c=10.0998 alpha=90.00 beta=90.00 gamma=108.41
Atoms (fractional coordinates):
Tb 0.0000 0.0000 0.5000
Tb 0.0000 0.0000 0.0000
Pm 0.4990 0.9980 0.7500
Pm 0.5010 0.0020 0.2500
Y 0.6666 0.3332 0.4999
Y 0.3334 0.6668 0.5001
Y 0.3334 0.6668 0.9999
Y 0.6666 0.3332 0.0001
Y 0.1675 0.3350 0.7499
Y 0.8325 0.6650 0.2501
Tm 0.8332 0.6665 0.7499
Tm 0.1668 0.3335 0.2501

Output
* energy of formation from the pure elements: 0.02 eV per atom
* total magnetic moment: 0.00 μB/f.u.
* volume: 386 Å³ per cell
* DFT total energy: -5.52 eV per atom
* DOS(E_F): 1.42 states/eV per atom


> What is the volume in the fourth record?

605 Å³ per cell


Repeat the eighth record exactly.
## HgW2Au (PBE)

Data for a geometry-optimized HgW2Au structure.

Unit cell a=5.9140 b=5.9140 c=7.2467 alpha=65.92 beta=65.92 gamma=90.00
Atoms (fractional coordinates):
Au 0.5000 0.5000 0.0000
Au 0.2500 0.7500 0.5000
Hg 0.0000 0.0000 0.0000
Hg 0.7500 0.2500 0.5000
W 0.6088 0.1250 0.2500
W 0.1412 0.6250 0.2500
W 0.3750 0.3912 0.7500
W 0.8750 0.8588 0.7500

Output
* energy of formation from the pure elements: 2.28 eV per atom
* total magnetic moment: 0.00 μB/f.u.
* volume: 207 Å³ per cell
* DFT total energy: -5.09 eV per atom
* DOS(E_F): 0.70 states/eV per atom